# Ce2DyNi, optimized geometry, DFT PBE
# Formation enthalpy at 0 K ... -0.0609 eV per atom
# Offset from the most stable computed form ... 0 meV per atom
data_Ce2DyNi
_space_group_name_H-M_alt 'P 4/m m m'
_space_group_IT_number 123
_space_group_name_Hall '-P 4 2'
_cell_length_a 3.547
_cell_length_b 3.547
_cell_length_c 8.026
_cell_angle_alpha 90.00
_cell_angle_beta 90.00
_cell_angle_gamma 90.00
loop_
_atom_site_label
_atom_site_fract_x
_atom_site_fract_y
_atom_site_fract_z
Ce1 0.000 0.000 0.184
Dy1 0.500 0.500 0.500
Ni1 0.500 0.500 0.000

***

# AlCoNi5, optimized geometry, DFT PBE
# Formation enthalpy at 0 K ... 0.0113 eV per atom
data_AlCoNi5
_space_group_name_H-M_alt 'P 4/m m m'
_space_group_IT_number 123
_space_group_name_Hall '-P 4 2'
_cell_length_a 3.559
_cell_length_b 3.559
_cell_length_c 6.674
_cell_angle_alpha 90.00
_cell_angle_beta 90.00
_cell_angle_gamma 90.00
loop_
_atom_site_label
_atom_site_fract_x
_atom_site_fract_y
_atom_site_fract_z
Al1 0.000 0.000 0.000
Co1 0.000 0.000 0.500
Ni1 0.000 0.500 0.270
Ni2 0.500 0.500 0.000

***

# AcMgHg3, optimized geometry, DFT PBE
# Formation enthalpy at 0 K ... -0.3473 eV per atom
# Offset from the most stable computed form ... 0 meV per atom
data_AcMgHg3
_space_group_name_H-M_alt 'P n m a'
_space_group_IT_number 62
_space_group_name_Hall '-P 2ac 2n'
_cell_length_a 9.511
_cell_length_b 5.237
_cell_length_c 10.880
_cell_angle_alpha 90.00
_cell_angle_beta 90.00
_cell_angle_gamma 90.00
loop_
_atom_site_label
_atom_site_fract_x
_atom_site_fract_y
_atom_site_fract_z
Ac1 0.216 0.250 0.005
Mg1 0.087 0.250 0.343
Hg1 0.074 0.250 0.608
Hg2 0.113 0.750 0.176
Hg3 0.114 0.750 0.840

***

# RbTaAl2I, optimized geometry, DFT PBE
# Electronic total energy ... -3.577 eV/atom
data_RbTaAl2I
_space_group_name_H-M_alt 'P 4/m m m'
_space_group_IT_number 123
_space_group_name_Hall '-P 4 2'
_cell_length_a 5.270
_cell_length_b 5.270
_cell_length_c 7.486
_cell_angle_alpha 90.00
_cell_angle_beta 90.00
_cell_angle_gamma 90.00
loop_
_atom_site_label
_atom_site_fract_x
_atom_site_fract_y
_atom_site_fract_z
Rb1 0.000 0.000 0.000
Ta1 0.000 0.000 0.500
Al1 0.000 0.500 0.500
I1 0.500 0.500 0.000